No. 1
## Al2CrMo (GGA-PBE)

Data for an optimized crystal structure of Al2CrMo.

Structure (POSCAR):
```
Al2CrMo
1.0
4.977 -0.003 0.003
2.106 4.509 -0.003
-3.146 -2.875 2.571
Cr Al Mo
1 2 1
Direct
0.513 0.513 0.000 Cr
0.262 0.762 0.500 Al
0.993 0.993 0.000 Al
0.732 0.232 0.500 Mo
```

- crystal system = orthorhombic
- E_tot (eV/atom) = -7.0894
- DFT formation energy (eV/atom) = -0.104



No. 2
## Al4CrMo (GGA-PBE)

Data for an optimized crystal structure of Al4CrMo.

Structure (POSCAR):
```
Al4CrMo
1.0
-1.048 -0.990 4.844
-4.593 1.012 1.850
-3.136 -3.782 1.185
Cr Al Mo
1 4 1
Direct
0.750 0.750 0.750 Cr
0.375 0.875 0.375 Al
0.375 0.375 0.375 Al
0.875 0.375 0.375 Al
0.375 0.375 0.875 Al
0.000 0.000 0.000 Mo
```

- crystal system = cubic
- E_tot (eV/atom) = -5.8287
- DFT formation energy (eV/atom) = 0.075



No. 3
## Al2CrMo (GGA-PBE)

Data for an optimized crystal structure of Al2CrMo.

Structure (POSCAR):
```
Al2CrMo
1.0
-2.477 -1.003 -0.331
1.565 -0.834 -2.026
2.198 -6.932 4.551
Cr Mo Al
1 1 2
Direct
0.000 0.000 0.501 Cr
0.500 0.500 0.738 Mo
0.000 0.000 0.993 Al
0.500 0.500 0.268 Al
```

- crystal system = orthorhombic
- E_tot (eV/atom) = -6.9211
- DFT formation energy (eV/atom) = 0.064



No. 4
## Al2CrMo (GGA-PBE)

Data for an optimized crystal structure of Al2CrMo.

Structure (POSCAR):
```
Al2CrMo
1.0
-0.110 2.683 0.604
-3.471 0.276 -1.858
-2.562 -1.145 4.618
Al Mo Cr
2 1 1
Direct
0.000 0.000 0.494 Al
0.000 0.000 0.006 Al
0.500 0.500 0.750 Mo
0.500 0.500 0.250 Cr
```

- crystal system = orthorhombic
- E_tot (eV/atom) = -7.0021
- DFT formation energy (eV/atom) = -0.017